(1)
Entry from the Alexandria database: an optimized crystal structure of ZrNb3Re (PBE-GGA).

Cell lengths 4.774, 4.774, 4.774 Å; angles 90.00, 90.00, 90.00 degrees
Fractional positions:
Zr 0.000 0.000 0.000
Nb 0.000 0.000 0.500
Nb 0.000 0.500 0.000
Nb 0.500 0.000 0.000
Re 0.500 0.500 0.500

Output
Its total energy is -8.116 eV per atom. The magnetization is 0.0 μB per formula unit.

=====

(2)
Entry from the Alexandria database: an optimized crystal structure of ZrNbRe2 (PBE-GGA).

Cell lengths 4.593, 4.593, 3.260 Å; angles 90.00, 90.00, 90.00 degrees
Fractional positions:
Zr 0.000 0.000 0.000
Nb 0.500 0.500 0.000
Re 0.000 0.500 0.500
Re 0.500 0.000 0.500

Output
Its total energy is -11.120 eV per atom. The magnetization is 0.0 μB per formula unit.

=====

(3)
Entry from the Alexandria database: an optimized crystal structure of Zr2NbRe (PBE-GGA).

Cell lengths 3.304, 3.304, 7.073 Å; angles 90.00, 90.00, 90.00 degrees
Fractional positions:
Zr 0.000 0.000 0.230
Zr 0.000 0.000 0.770
Nb 0.500 0.500 0.500
Re 0.500 0.500 0.000

Output
Its total energy is -9.951 eV per atom. The magnetization is 0.0 μB per formula unit.

=====

(4)
Entry from the Alexandria database: an optimized crystal structure of ZrNbRe (PBE-GGA).

Cell lengths 5.430, 5.430, 5.430 Å; angles 120.79, 118.61, 90.53 degrees
Fractional positions:
Zr 0.371 0.121 0.250
Zr 0.629 0.879 0.750
Nb 0.000 0.500 0.500
Nb 0.500 0.500 0.000
Re 0.000 0.000 0.500
Re 0.000 0.500 0.000

Output
Its total energy is -10.629 eV per atom. The magnetization is 0.0 μB per formula unit.

=====

(5)
Entry from the Alexandria database: an optimized crystal structure of ZrNbRe2 (PBE-GGA).

Cell lengths 6.036, 6.036, 6.036 Å; angles 152.99, 132.17, 55.79 degrees
Fractional positions:
Zr 0.000 0.000 0.000
Nb 0.500 0.500 0.000
Re 0.262 0.262 0.000
Re 0.738 0.738 0.000

Output
Its total energy is -10.133 eV per atom. The magnetization is 0.0 μB per formula unit.

=====

(6)
Entry from the Alexandria database: an optimized crystal structure of Zr2NbRe (PBE-GGA).

Cell lengths 6.076, 6.076, 6.076 Å; angles 102.75, 102.75, 123.97 degrees
Fractional positions:
Zr 0.100 0.125 0.475
Zr 0.375 0.900 0.025
Zr 0.650 0.625 0.525
Zr 0.875 0.350 0.975
Nb 0.250 0.750 0.500
Nb 0.500 0.500 0.000
Re 0.000 0.000 0.000
Re 0.750 0.250 0.500

Output
Its total energy is -9.391 eV per atom. The magnetization is 0.0 μB per formula unit.

=====

(7)
Entry from the Alexandria database: an optimized crystal structure of ZrNb3Re (PBE-GGA).

Cell lengths 4.866, 4.866, 4.866 Å; angles 90.00, 90.00, 90.00 degrees
Fractional positions:
Zr 0.000 0.000 0.000
Nb 0.000 0.500 0.500
Nb 0.500 0.000 0.500
Nb 0.500 0.500 0.000
Re 0.500 0.500 0.500

Output
Its total energy is -9.296 eV per atom. The magnetization is 0.0 μB per formula unit.

=====

(8)
Entry from the Alexandria database: an optimized crystal structure of ZrNbRe2 (PBE-GGA).

Cell lengths 3.246, 3.246, 6.546 Å; angles 90.00, 90.00, 90.00 degrees
Fractional positions:
Zr 0.000 0.000 0.000
Nb 0.000 0.000 0.500
Re 0.500 0.500 0.261
Re 0.500 0.500 0.739

Output
Its total energy is -11.138 eV per atom. The magnetization is 0.0 μB per formula unit.